The following is a PBE calculation of a geometry-optimized Hf6MoPb structure, from Alexandria via LeMat-Bulk.

Summary:
DFT formation energy = 0.039 eV per atom
Density = 13.1 g cm⁻³
Total energy = -73.9 eV per cell
SG = R-3, No. 148

```
Hf6MoPb
1.0
8.0859 0.0150 0.0373
4.0359 6.5902 -0.1119
4.0267 2.1207 3.2527
Hf Mo Pb
6 1 1
Cartesian
5.0548 4.6008 2.4957 Hf
12.9418 8.0067 2.1967 Hf
6.2254 2.0062 0.6202 Hf
3.2067 0.7192 0.9814 Hf
11.0936 4.1251 0.6824 Hf
9.9231 6.7197 2.5579 Hf
0.0000 0.0000 0.0000 Mo
8.0742 4.3629 1.5890 Pb
```